# 1
The following is a DFT calculation (PBE) of crystalline CdMoPt2 at its relaxed geometry.

Output
**Energy of formation**: 9.3 kJ per mole of atoms
**M_tot**: 0.007 μB/atom

Cell lengths 4.5374, 4.5374, 4.5374 Å; angles 60.00, 60.00, 60.00 degrees
Last column: nearest neighbours and their distance in Å.
Fractional positions:
1 Cd 0.0000 0.0000 0.0000  4 Mo 2.78, 4 Pt 2.78
2 Mo 0.2500 0.2500 0.2500  4 Pt 2.78, 4 Cd 2.78
3 Pt 0.5000 0.5000 0.5000  4 Pt 2.78, 4 Mo 2.78
4 Pt 0.7500 0.7500 0.7500  4 Cd 2.78, 4 Pt 2.78

---

# 2
The following is a DFT calculation (PBE) of crystalline Cd6MoPt at its relaxed geometry.

Output
**Energy of formation**: 26.6 kJ per mole of atoms
**M_tot**: 0.308 μB/atom

Cell lengths 5.4838, 5.4838, 5.4838 Å; angles 96.49, 96.49, 96.49 degrees
Last column: nearest neighbours and their distance in Å.
Fractional positions:
1 Cd 0.0331 0.5274 0.7549  4 Cd 2.76-3.02, 1 Pt 2.82, 2 Mo 3.06-3.07
2 Cd 0.2451 0.9669 0.4726  4 Cd 2.76-3.02, 1 Pt 2.82, 2 Mo 3.06-3.07
3 Cd 0.4726 0.2451 0.9669  4 Cd 2.76-3.02, 1 Pt 2.82, 2 Mo 3.06-3.07
4 Cd 0.5274 0.7549 0.0331  4 Cd 2.76-3.02, 1 Pt 2.82, 2 Mo 3.06-3.07
5 Cd 0.7549 0.0331 0.5274  4 Cd 2.76-3.02, 1 Pt 2.82, 2 Mo 3.06-3.07
6 Cd 0.9669 0.4726 0.2451  4 Cd 2.76-3.02, 1 Pt 2.82, 2 Mo 3.06-3.07
7 Mo 0.5000 0.5000 0.5000  12 Cd 3.06-3.07
8 Pt 0.0000 0.0000 0.0000  6 Cd 2.82

---

# 3
The following is a DFT calculation (PBE) of crystalline CdMoPt at its relaxed geometry.

Output
**Energy of formation**: 24.1 kJ per mole of atoms
**M_tot**: 0.001 μB/atom

Cell lengths 4.3573, 4.3573, 4.3573 Å; angles 60.00, 60.00, 60.00 degrees
Last column: nearest neighbours and their distance in Å.
Fractional positions:
1 Cd 0.0000 0.0000 0.0000  4 Pt 2.67
2 Mo 0.5000 0.5000 0.5000  4 Pt 2.67
3 Pt 0.2500 0.2500 0.2500  4 Cd 2.67, 4 Mo 2.67